Density functional theory data (PBE) for a relaxed ScZnRu3 crystal. Values from VASP.

Summary:
- Relative energy among the computed polymorphs: 515 meV/atom
- Space group: No. 221

Quantum ESPRESSO input file:
```
&SYSTEM
  ibrav = 0, nat = 5, ntyp = 3
/
ATOMIC_SPECIES
Sc 44.96 Sc.upf
Ru 101.07 Ru.upf
Zn 65.41 Zn.upf
ATOMIC_POSITIONS angstrom
Sc 0.000 0.000 0.000
Ru 0.000 2.312 0.000
Ru 0.000 0.000 2.312
Ru 2.312 0.000 0.000
Zn 2.312 2.312 2.312
CELL_PARAMETERS angstrom
4.624 0.000 0.000
0.000 4.624 0.000
0.000 0.000 4.624
```

Density functional theory data (PBE) for a relaxed KY2Fe crystal. Values from VASP.

Summary:
- Relative energy among the computed polymorphs: 404 meV/atom
- Space group: No. 141

Quantum ESPRESSO input file:
```
&SYSTEM
  ibrav = 0, nat = 8, ntyp = 3
/
ATOMIC_SPECIES
Y 88.91 Y.upf
K 39.10 K.upf
Fe 55.84 Fe.upf
ATOMIC_POSITIONS angstrom
Y 7.808 1.952 1.383
Y 7.806 5.855 1.383
Y 5.855 3.902 4.149
Y 9.759 3.905 4.149
K 3.903 3.903 0.000
K 3.903 7.807 2.766
Fe 0.000 0.000 0.000
Fe 7.807 3.903 2.766
CELL_PARAMETERS angstrom
7.807 0.000 0.000
0.000 7.807 0.000
3.903 3.903 5.532
```

no.,spin magnetization (μB/cell)
1,3.33
2,0.00